Record 1
# PBE-GGA Be2SbAs, optimized geometry
data_Be2SbAs
_chemical_formula_sum 'Be4 Sb2 As2'
_cell_length_a 6.140
_cell_length_b 3.529
_cell_length_c 6.301
_cell_angle_alpha 90.00
_cell_angle_beta 108.58
_cell_angle_gamma 90.00
_space_group_name_H-M_alt 'P 1'
_space_group_IT_number 1
_space_group_name_Hall 'P 1'
loop_
_atom_site_label
_atom_site_type_symbol
_atom_site_fract_x
_atom_site_fract_y
_atom_site_fract_z
Be1 Be 0.232 0.000 0.193
Be2 Be 0.268 0.500 0.807
Be3 Be 0.732 0.500 0.193
Be4 Be 0.768 0.000 0.807
Sb1 Sb 0.000 0.000 0.500
Sb2 Sb 0.500 0.500 0.500
As1 As 0.000 0.500 0.000
As2 As 0.500 0.000 0.000
# Uncorrected formation energy ... 234.5 meV per atom
# Distance to the lowest polymorph of the same formula ... 95.5 meV/atom
# Symmetry ... C2/m (12)
# Crystal system ... monoclinic
# Size of the total moment ... 0.0 μB/f.u.
# Fermi-level density of states ... 1.94 states/eV per cell

***

Record 2
# PBE-GGA Zr3Cl, optimized geometry
data_Zr3Cl
_chemical_formula_sum 'Zr12 Cl4'
_cell_length_a 6.274
_cell_length_b 8.605
_cell_length_c 6.082
_cell_angle_alpha 90.00
_cell_angle_beta 90.00
_cell_angle_gamma 90.00
_space_group_name_H-M_alt 'P 1'
_space_group_IT_number 1
_space_group_name_Hall 'P 1'
loop_
_atom_site_label
_atom_site_type_symbol
_atom_site_fract_x
_atom_site_fract_y
_atom_site_fract_z
Zr1 Zr 0.023 0.250 0.162
Zr2 Zr 0.217 0.060 0.633
Zr3 Zr 0.217 0.440 0.633
Zr4 Zr 0.283 0.560 0.133
Zr5 Zr 0.283 0.940 0.133
Zr6 Zr 0.477 0.750 0.662
Zr7 Zr 0.523 0.250 0.338
Zr8 Zr 0.717 0.060 0.867
Zr9 Zr 0.717 0.440 0.867
Zr10 Zr 0.783 0.560 0.367
Zr11 Zr 0.783 0.940 0.367
Zr12 Zr 0.977 0.750 0.838
Cl1 Cl 0.116 0.750 0.438
Cl2 Cl 0.384 0.250 0.938
Cl3 Cl 0.616 0.750 0.062
Cl4 Cl 0.884 0.250 0.562
# Uncorrected formation energy ... -280.1 meV per atom
# Distance to the lowest polymorph of the same formula ... 130.8 meV/atom
# Symmetry ... Pnma (62)
# Crystal system ... orthorhombic
# Size of the total moment ... 0.0 μB/f.u.
# Fermi-level density of states ... 12.75 states/eV per cell

***

Record 3
# PBE-GGA InFeN2, optimized geometry
data_InFeN2
_chemical_formula_sum 'In3 Fe3 N6'
_cell_length_a 2.935
_cell_length_b 2.935
_cell_length_c 19.364
_cell_angle_alpha 90.00
_cell_angle_beta 90.00
_cell_angle_gamma 120.00
_space_group_name_H-M_alt 'P 1'
_space_group_IT_number 1
_space_group_name_Hall 'P 1'
loop_
_atom_site_label
_atom_site_type_symbol
_atom_site_fract_x
_atom_site_fract_y
_atom_site_fract_z
In1 In 0.000 0.000 0.000
In2 In 0.333 0.667 0.667
In3 In 0.667 0.333 0.333
Fe1 Fe 0.000 0.000 0.500
Fe2 Fe 0.333 0.667 0.167
Fe3 Fe 0.667 0.333 0.833
N1 N 0.000 0.000 0.115
N2 N 0.000 0.000 0.885
N3 N 0.333 0.667 0.551
N4 N 0.333 0.667 0.782
N5 N 0.667 0.333 0.218
N6 N 0.667 0.333 0.449
# Uncorrected formation energy ... 445.2 meV per atom
# Symmetry ... R-3m (166)
# Crystal system ... trigonal
# Size of the total moment ... 2.2 μB/f.u.
# Fermi-level density of states ... 10.04 states/eV per cell

***

Record 4
# PBE-GGA KAgI2, optimized geometry
data_KAgI2
_chemical_formula_sum 'K3 Ag3 I6'
_cell_length_a 5.472
_cell_length_b 5.472
_cell_length_c 25.845
_cell_angle_alpha 90.00
_cell_angle_beta 90.00
_cell_angle_gamma 120.00
_space_group_name_H-M_alt 'P 1'
_space_group_IT_number 1
_space_group_name_Hall 'P 1'
loop_
_atom_site_label
_atom_site_type_symbol
_atom_site_fract_x
_atom_site_fract_y
_atom_site_fract_z
K1 K 0.000 0.000 0.000
K2 K 0.333 0.667 0.667
K3 K 0.667 0.333 0.333
Ag1 Ag 0.000 0.000 0.500
Ag2 Ag 0.333 0.667 0.167
Ag3 Ag 0.667 0.333 0.833
I1 I 0.000 0.000 0.398
I2 I 0.000 0.000 0.602
I3 I 0.333 0.667 0.065
I4 I 0.333 0.667 0.268
I5 I 0.667 0.333 0.732
I6 I 0.667 0.333 0.935
# Uncorrected formation energy ... -805.6 meV per atom
# Symmetry ... R-3m (166)
# Crystal system ... trigonal
# Size of the total moment ... 0.0 μB/f.u.
# Fermi-level density of states ... 0.00 states/eV per cell

***

Record 5
# PBE-GGA SrCu3As, optimized geometry
data_SrCu3As
_chemical_formula_sum 'Sr1 Cu3 As1'
_cell_length_a 4.709
_cell_length_b 4.709
_cell_length_c 4.709
_cell_angle_alpha 90.00
_cell_angle_beta 90.00
_cell_angle_gamma 90.00
_space_group_name_H-M_alt 'P 1'
_space_group_IT_number 1
_space_group_name_Hall 'P 1'
loop_
_atom_site_label
_atom_site_type_symbol
_atom_site_fract_x
_atom_site_fract_y
_atom_site_fract_z
Sr1 Sr 0.000 0.000 0.000
Cu1 Cu 0.000 0.500 0.500
Cu2 Cu 0.500 0.000 0.500
Cu3 Cu 0.500 0.500 0.000
As1 As 0.500 0.500 0.500
# Distance to the lowest polymorph of the same formula ... 0.0 meV/atom
# ΔE_f ... 0.075 eV/atom
# Symmetry ... Pm-3m (221)
# Crystal system ... cubic
# Size of the total moment ... 0.0 μB/f.u.
# Fermi-level density of states ... 3.32 states/eV per cell

***

Record 6
# PBE-GGA CaIn8Rh2, optimized geometry
data_CaIn8Rh2
_chemical_formula_sum 'Ca1 In8 Rh2'
_cell_length_a 6.774
_cell_length_b 6.774
_cell_length_c 6.048
_cell_angle_alpha 90.00
_cell_angle_beta 90.00
_cell_angle_gamma 90.00
_space_group_name_H-M_alt 'P 1'
_space_group_IT_number 1
_space_group_name_Hall 'P 1'
loop_
_atom_site_label
_atom_site_type_symbol
_atom_site_fract_x
_atom_site_fract_y
_atom_site_fract_z
Ca1 Ca 0.000 0.000 0.000
In1 In 0.278 0.278 0.253
In2 In 0.278 0.278 0.747
In3 In 0.278 0.722 0.253
In4 In 0.278 0.722 0.747
In5 In 0.722 0.278 0.253
In6 In 0.722 0.278 0.747
In7 In 0.722 0.722 0.253
In8 In 0.722 0.722 0.747
Rh1 Rh 0.000 0.500 0.500
Rh2 Rh 0.500 0.000 0.500
# ΔE_f ... -0.086 eV/atom
# Symmetry ... P4/mmm (123)
# Crystal system ... tetragonal
# Size of the total moment ... 0.0 μB/f.u.
# Fermi-level density of states ... 6.25 states/eV per cell

***

Record 7
# PBE-GGA HfSbS, optimized geometry
data_HfSbS
_chemical_formula_sum 'Hf1 Sb1 S1'
_cell_length_a 3.547
_cell_length_b 3.547
_cell_length_c 7.275
_cell_angle_alpha 90.00
_cell_angle_beta 90.00
_cell_angle_gamma 120.00
_space_group_name_H-M_alt 'P 1'
_space_group_IT_number 1
_space_group_name_Hall 'P 1'
loop_
_atom_site_label
_atom_site_type_symbol
_atom_site_fract_x
_atom_site_fract_y
_atom_site_fract_z
Hf1 Hf 0.000 0.000 0.000
Sb1 Sb 0.333 0.667 0.691
S1 S 0.667 0.333 0.195
# Uncorrected formation energy ... -880.4 meV per atom
# Symmetry ... P3m1 (156)
# Crystal system ... trigonal
# Size of the total moment ... 0.0 μB/f.u.
# Fermi-level density of states ... 1.42 states/eV per cell

***

Record 8
# PBE-GGA CeErMoN3, optimized geometry
data_CeErMoN3
_chemical_formula_sum 'Ce2 Er2 Mo2 N6'
_cell_length_a 7.310
_cell_length_b 3.282
_cell_length_c 7.891
_cell_angle_alpha 90.00
_cell_angle_beta 95.58
_cell_angle_gamma 90.00
_space_group_name_H-M_alt 'P 1'
_space_group_IT_number 1
_space_group_name_Hall 'P 1'
loop_
_atom_site_label
_atom_site_type_symbol
_atom_site_fract_x
_atom_site_fract_y
_atom_site_fract_z
Ce1 Ce 0.160 0.250 0.179
Ce2 Ce 0.840 0.750 0.821
Er1 Er 0.371 0.750 0.850
Er2 Er 0.629 0.250 0.150
Mo1 Mo 0.112 0.250 0.580
Mo2 Mo 0.888 0.750 0.420
N1 N 0.131 0.250 0.846
N2 N 0.171 0.750 0.421
N3 N 0.396 0.750 0.131
N4 N 0.604 0.250 0.869
N5 N 0.829 0.250 0.579
N6 N 0.869 0.750 0.154
# Uncorrected formation energy ... -1024.0 meV per atom
# Symmetry ... P2_1/m (11)
# Crystal system ... monoclinic
# Size of the total moment ... 0.0 μB/f.u.
# Fermi-level density of states ... 6.61 states/eV per cell

***

Record 9
# PBE-GGA AlSiRh2, optimized geometry
data_AlSiRh2
_chemical_formula_sum 'Al1 Si1 Rh2'
_cell_length_a 4.061
_cell_length_b 4.061
_cell_length_c 3.228
_cell_angle_alpha 90.00
_cell_angle_beta 90.00
_cell_angle_gamma 90.00
_space_group_name_H-M_alt 'P 1'
_space_group_IT_number 1
_space_group_name_Hall 'P 1'
loop_
_atom_site_label
_atom_site_type_symbol
_atom_site_fract_x
_atom_site_fract_y
_atom_site_fract_z
Al1 Al 0.000 0.000 0.000
Si1 Si 0.500 0.500 0.000
Rh1 Rh 0.000 0.500 0.500
Rh2 Rh 0.500 0.000 0.500
# Uncorrected formation energy ... -838.4 meV per atom
# Symmetry ... P4/mmm (123)
# Crystal system ... tetragonal
# Size of the total moment ... 0.0 μB/f.u.
# Fermi-level density of states ... 1.10 states/eV per cell

***

Record 10
# PBE-GGA BeHgPb4, optimized geometry
data_BeHgPb4
_chemical_formula_sum 'Be1 Hg1 Pb4'
_cell_length_a 6.457
_cell_length_b 6.457
_cell_length_c 6.457
_cell_angle_alpha 60.00
_cell_angle_beta 60.00
_cell_angle_gamma 60.00
_space_group_name_H-M_alt 'P 1'
_space_group_IT_number 1
_space_group_name_Hall 'P 1'
loop_
_atom_site_label
_atom_site_type_symbol
_atom_site_fract_x
_atom_site_fract_y
_atom_site_fract_z
Be1 Be 0.000 0.000 0.000
Hg1 Hg 0.750 0.750 0.750
Pb1 Pb 0.375 0.375 0.375
Pb2 Pb 0.375 0.375 0.876
Pb3 Pb 0.375 0.876 0.375
Pb4 Pb 0.876 0.375 0.375
# ΔE_f ... 0.614 eV/atom
# Symmetry ... F-43m (216)
# Crystal system ... cubic
# Size of the total moment ... 0.0 μB/f.u.
# Fermi-level density of states ... 3.33 states/eV per cell

***

- Which of these has the lowest Fermi-level density of states?
  KAgI2

***

- Number 6 is which compound?
  CaIn8Rh2

***

- What is the size of the total moment in the fourth record?
  0.0 μB/f.u.

***

- What is the size of the total moment in the ninth record?
  0.0 μB/f.u.